{
  "formula": "AsRuAuBr2",
  "functional": "PBE",
  "state": "optimized geometry",
  "formation_energy_uncorrected_ev_per_atom": 0.545,
  "density_kg_m3": 7097,
  "relative_energy_kj_per_mol_fu": 0,
  "cell": [[5.188, 0.000, 0.000], [0.000, 5.188, 0.000], [0.000, 0.000, 4.631]],
  "species": ["As", "Ru", "Au", "Br", "Br"],
  "fractional_positions": [[0.000, 0.000, 0.000], [0.000, 0.000, 0.500], [0.500, 0.500, 0.000], [0.000, 0.500, 0.500], [0.500, 0.000, 0.500]]
}